## Sc2CCl2 (PBE)

Data for crystalline Sc2CCl2 at its relaxed geometry.

Uncorrected formation energy = -1.55 eV per atom
SG = P-3m1, No. 164

Geometry as extended XYZ:
```
5
Lattice="3.449 0.000 0.000 -1.724 2.987 0.000 0.000 0.000 9.781" Properties=species:S:1:pos:R:3 pbc="T T T"
Sc 1.724 0.996 6.123
Sc 0.000 1.991 3.659
C 0.000 0.000 4.891
Cl 1.724 0.996 1.986
Cl 0.000 1.991 7.795
```

---

## La3NdSm3 (PBE)

Data for crystalline La3NdSm3 at its relaxed geometry.

Formation enthalpy at 0 K = 0.0352 eV/atom
SG = P6_3/m, No. 176

Geometry as extended XYZ:
```
14
Lattice="5.944 0.000 0.000 0.000 9.879 0.000 0.000 -4.940 8.556" Properties=species:S:1:pos:R:3 pbc="T T T"
La 4.458 -2.795 8.134
La 4.458 3.502 6.909
La 1.486 5.647 6.488
La 4.458 -0.707 2.068
La 1.486 1.437 1.647
La 1.486 7.735 0.421
Nd 1.486 4.940 2.852
Nd 4.458 0.000 5.704
Sm 4.458 2.838 3.290
Sm 4.458 6.370 4.453
Sm 1.486 -0.671 7.743
Sm 4.458 5.611 0.813
Sm 1.486 -1.430 4.103
Sm 1.486 2.102 5.266
```

---

## AcLa2SmAs4 (PBE)

Data for crystalline AcLa2SmAs4 at its relaxed geometry.

Formation enthalpy at 0 K = -1.5195 eV/atom
SG = P2/m, No. 10

Geometry as extended XYZ:
```
8
Lattice="-3.928 1.943 -0.180 -1.644 -3.907 -6.292 -3.330 -6.556 1.896" Properties=species:S:1:pos:R:3 pbc="T T T"
Ac -6.116 -7.537 -1.340
La -3.330 -6.556 1.896
La -3.629 -2.306 0.858
Sm -2.487 -5.231 -2.198
As -3.706 -7.800 -3.340
As -5.197 -0.719 -1.236
As -4.054 -3.644 -4.310
As -4.848 -4.875 -0.266
```

---

## CeDy2Th3S6 (PBE)

Data for crystalline CeDy2Th3S6 at its relaxed geometry.

Uncorrected formation energy = -1.92 eV per atom
SG = C2/m, No. 12

Geometry as extended XYZ:
```
12
Lattice="3.968 0.000 0.000 0.000 8.033 0.179 -1.984 -2.428 8.416" Properties=species:S:1:pos:R:3 pbc="T T T"
Ce 1.984 0.000 0.000
Dy 1.984 3.747 5.742
Dy 0.000 1.858 2.853
Th 1.984 4.016 0.089
Th 1.984 -0.296 5.658
Th 0.000 5.902 2.937
S 0.000 5.656 5.778
S 1.984 3.798 2.968
S 1.984 -0.051 2.817
S 0.000 1.982 0.113
S 1.984 3.623 8.482
S 0.000 1.807 5.627
```

---

no.,total magnetization (μB per atom),raw total energy (eV per atom)
1,0.000,-6.663
2,0.000,-4.780
3,0.000,-6.180
4,0.011,-7.102